First-principles (PBE) data for crystalline Ba7Mo at its relaxed geometry, as listed in Alexandria via LeMat-Bulk.

Unit cell a=8.489 b=8.489 c=8.489 alpha=60.00 beta=60.00 gamma=60.00
Atoms (fractional coordinates):
Ba: 0.000 0.000 0.000
Ba: 0.000 0.000 0.500
Ba: 0.000 0.500 0.000
Ba: 0.000 0.500 0.500
Ba: 0.500 0.000 0.000
Ba: 0.500 0.000 0.500
Ba: 0.500 0.500 0.000
Mo: 0.500 0.500 0.500

As for the space group: Fm-3m (225). Its total energy is -2.504 eV per atom.

First-principles (PBE) data for crystalline LaY2Zr at its relaxed geometry, as listed in Alexandria via LeMat-Bulk.

Unit cell a=5.427 b=3.500 c=13.071 alpha=90.00 beta=90.00 gamma=90.00
Atoms (fractional coordinates):
La: 0.000 0.000 0.000
La: 0.000 0.500 0.500
Y: 0.000 0.000 0.269
Y: 0.000 0.500 0.769
Y: 0.500 0.000 0.659
Y: 0.500 0.500 0.159
Zr: 0.500 0.000 0.388
Zr: 0.500 0.500 0.888

As for the space group: Amm2 (38). Its total energy is -6.487 eV per atom. The distance to the lowest polymorph of the same formula comes out at 38 meV per atom.

First-principles (PBE) data for crystalline Be9Al2V at its relaxed geometry, as listed in Alexandria via LeMat-Bulk.

Unit cell a=7.334 b=7.334 c=7.334 alpha=34.63 beta=34.63 gamma=34.63
Atoms (fractional coordinates):
Be: 0.000 0.000 0.000
Be: 0.079 0.079 0.582
Be: 0.079 0.582 0.079
Be: 0.168 0.168 0.168
Be: 0.418 0.921 0.921
Be: 0.582 0.079 0.079
Be: 0.832 0.832 0.832
Be: 0.921 0.418 0.921
Be: 0.921 0.921 0.418
Al: 0.362 0.362 0.362
Al: 0.638 0.638 0.638
V: 0.500 0.500 0.500

As for the space group: R-3m (166). Its total energy is -4.257 eV per atom.

First-principles (PBE) data for crystalline Y2ReBi at its relaxed geometry, as listed in Alexandria via LeMat-Bulk.

Unit cell a=8.242 b=8.242 c=6.267 alpha=90.00 beta=90.00 gamma=90.00
Atoms (fractional coordinates):
Y: 0.191 0.250 0.125
Y: 0.250 0.691 0.375
Y: 0.250 0.809 0.875
Y: 0.309 0.250 0.625
Y: 0.691 0.750 0.625
Y: 0.750 0.191 0.875
Y: 0.750 0.309 0.375
Y: 0.809 0.750 0.125
Re: 0.000 0.000 0.000
Re: 0.000 0.500 0.250
Re: 0.500 0.000 0.750
Re: 0.500 0.500 0.500
Bi: 0.000 0.000 0.500
Bi: 0.000 0.500 0.750
Bi: 0.500 0.000 0.250
Bi: 0.500 0.500 0.000

As for the space group: I-42d (122). Its total energy is -6.951 eV per atom.

First-principles (PBE) data for crystalline Pr2ZnGa7 at its relaxed geometry, as listed in Alexandria via LeMat-Bulk.

Unit cell a=4.320 b=4.320 c=10.834 alpha=90.00 beta=90.00 gamma=90.00
Atoms (fractional coordinates):
Pr: 0.000 0.500 0.248
Pr: 0.500 0.000 0.752
Zn: 0.500 0.500 0.000
Ga: 0.000 0.000 0.000
Ga: 0.000 0.000 0.500
Ga: 0.000 0.500 0.638
Ga: 0.000 0.500 0.867
Ga: 0.500 0.000 0.133
Ga: 0.500 0.000 0.362
Ga: 0.500 0.500 0.500

As for the space group: P-4m2 (115). Its total energy is -3.651 eV per atom.

First-principles (PBE) data for crystalline CeUNiAu at its relaxed geometry, as listed in Alexandria via LeMat-Bulk.

Unit cell a=6.725 b=6.725 c=6.725 alpha=90.00 beta=90.00 gamma=90.00
Atoms (fractional coordinates):
Ce: 0.000 0.000 0.000
Ce: 0.000 0.500 0.500
Ce: 0.500 0.000 0.500
Ce: 0.500 0.500 0.000
U: 0.250 0.250 0.250
U: 0.250 0.750 0.750
U: 0.750 0.250 0.750
U: 0.750 0.750 0.250
Ni: 0.000 0.000 0.500
Ni: 0.000 0.500 0.000
Ni: 0.500 0.000 0.000
Ni: 0.500 0.500 0.500
Au: 0.250 0.250 0.750
Au: 0.250 0.750 0.250
Au: 0.750 0.250 0.250
Au: 0.750 0.750 0.750

As for the space group: F-43m (216). Its total energy is -6.770 eV per atom.

First-principles (PBE) data for crystalline Nb3V4Sn at its relaxed geometry, as listed in Alexandria via LeMat-Bulk.

Unit cell a=4.526 b=4.526 c=6.358 alpha=90.00 beta=90.00 gamma=90.00
Atoms (fractional coordinates):
Nb: 0.000 0.000 0.000
Nb: 0.000 0.000 0.500
Nb: 0.500 0.500 0.000
V: 0.000 0.500 0.233
V: 0.000 0.500 0.767
V: 0.500 0.000 0.233
V: 0.500 0.000 0.767
Sn: 0.500 0.500 0.500

As for the space group: P4/mmm (123). Its total energy is -8.854 eV per atom.

First-principles (PBE) data for crystalline FeCu4Si at its relaxed geometry, as listed in Alexandria via LeMat-Bulk.

Unit cell a=4.758 b=4.758 c=4.758 alpha=60.00 beta=60.00 gamma=60.00
Atoms (fractional coordinates):
Fe: 0.000 0.000 0.000
Cu: 0.375 0.375 0.375
Cu: 0.375 0.375 0.875
Cu: 0.375 0.875 0.375
Cu: 0.875 0.375 0.375
Si: 0.750 0.750 0.750

As for the space group: F-43m (216). Its total energy is -4.781 eV per atom.

First-principles (PBE) data for crystalline CdTeI2Br at its relaxed geometry, as listed in Alexandria via LeMat-Bulk.

Unit cell a=5.817 b=5.817 c=5.986 alpha=90.00 beta=90.00 gamma=90.00
Atoms (fractional coordinates):
Cd: 0.000 0.000 0.000
Te: 0.000 0.000 0.500
I: 0.000 0.500 0.000
I: 0.500 0.000 0.000
Br: 0.500 0.500 0.500

As for the space group: P4/mmm (123). Its total energy is -1.518 eV per atom. The distance to the lowest polymorph of the same formula comes out at 0 meV per atom.

First-principles (PBE) data for crystalline TlVNi2 at its relaxed geometry, as listed in Alexandria via LeMat-Bulk.

Unit cell a=6.100 b=6.100 c=6.100 alpha=90.00 beta=90.00 gamma=90.00
Atoms (fractional coordinates):
Tl: 0.000 0.000 0.000
Tl: 0.000 0.500 0.500
Tl: 0.500 0.000 0.500
Tl: 0.500 0.500 0.000
V: 0.000 0.000 0.500
V: 0.000 0.500 0.000
V: 0.500 0.000 0.000
V: 0.500 0.500 0.500
Ni: 0.250 0.250 0.250
Ni: 0.250 0.250 0.750
Ni: 0.250 0.750 0.250
Ni: 0.250 0.750 0.750
Ni: 0.750 0.250 0.250
Ni: 0.750 0.250 0.750
Ni: 0.750 0.750 0.250
Ni: 0.750 0.750 0.750

As for the space group: Fm-3m (225). Its total energy is -5.551 eV per atom. The distance to the lowest polymorph of the same formula comes out at 0 meV per atom.

First-principles (PBE) data for crystalline VIrPd3 at its relaxed geometry, as listed in Alexandria via LeMat-Bulk.

Unit cell a=4.811 b=4.811 c=4.811 alpha=90.00 beta=90.00 gamma=90.00
Atoms (fractional coordinates):
V: 0.000 0.000 0.000
Ir: 0.500 0.500 0.500
Pd: 0.000 0.500 0.500
Pd: 0.500 0.000 0.500
Pd: 0.500 0.500 0.000

As for the space group: Pm-3m (221). Its total energy is -5.373 eV per atom. The distance to the lowest polymorph of the same formula comes out at 188 meV per atom.

First-principles (PBE) data for crystalline La2HBr at its relaxed geometry, as listed in Alexandria via LeMat-Bulk.

Unit cell a=3.789 b=3.789 c=23.117 alpha=90.00 beta=90.00 gamma=120.00
Atoms (fractional coordinates):
La: 0.000 0.000 0.231
La: 0.000 0.000 0.769
La: 0.333 0.667 0.435
La: 0.333 0.667 0.898
La: 0.667 0.333 0.102
La: 0.667 0.333 0.565
H: 0.000 0.000 0.500
H: 0.333 0.667 0.167
H: 0.667 0.333 0.833
Br: 0.000 0.000 0.000
Br: 0.333 0.667 0.667
Br: 0.667 0.333 0.333

As for the space group: R-3m (166). Its total energy is -4.576 eV per atom. The distance to the lowest polymorph of the same formula comes out at 0 meV per atom.

| no. | theoretical density (g cm⁻³) |
| --- | --- |
| 1 | 4.06 |
| 2 | 5.46 |
| 3 | 2.72 |
| 4 | 8.94 |
| 5 | 6.86 |
| 6 | 13.84 |
| 7 | 7.66 |
| 8 | 7.37 |
| 9 | 4.70 |
| 10 | 10.91 |
| 11 | 8.39 |
| 12 | 6.22 |